{
  "formula": "ZrSc2Tc",
  "functional": "GGA-PBE",
  "state": "relaxed",
  "final_energy_ev_per_cell": -31.63,
  "crystal_system": "orthorhombic",
  "ef_ev_per_atom": -0.012,
  "lattice": [[-2.6620, -0.0016, 1.4789], [2.3376, -1.0887, 1.6199], [1.8435, 8.9106, 3.3281]],
  "species": ["Sc", "Sc", "Zr", "Tc"],
  "fractional_positions": [[0.0000, 0.0000, 0.4595], [0.0000, 0.0000, 0.0405], [0.5000, 0.5000, 0.7500], [0.5000, 0.5000, 0.2500]]
}